Entry 1:
Below is a relaxed structure of TbErPd4, with properties calculated at the GGA-PBE level.

```
6
Lattice="-3.317 -2.104 -0.283 1.219 -2.318 2.947 -3.717 5.112 5.559" Properties=species:S:1:pos:R:3 pbc="T T T"
Er -0.641 0.231 5.707
Pd -3.218 0.444 6.940
Pd -1.380 -2.085 4.191
Pd -2.168 2.654 5.608
Pd -0.331 0.127 2.860
Tb -4.766 2.895 6.871
```

Properties
Final energy = -33.7 eV per cell
N(E_F) = 2.43 states/eV/f.u.
Formation energy from the elements = -3.70 eV per formula unit
Total moment = 0.000 μB/cell
Energy relative to the lowest polymorph listed for this composition = 0.196 eV per atom

***

Entry 2:
Below is a relaxed structure of InTc2Os, with properties calculated at the GGA-PBE level.

```
4
Lattice="-2.660 5.286 -7.035 -4.040 2.894 -7.734 -5.217 4.734 -5.906" Properties=species:S:1:pos:R:3 pbc="T T T"
In -5.961 6.460 -10.342
Tc -3.046 3.301 -5.285
Tc -11.913 12.911 -20.669
Os -8.871 9.614 -15.391
```

Properties
Final energy = -33.6 eV per cell
N(E_F) = 4.02 states/eV/f.u.
Formation energy from the elements = 1.15 eV per formula unit
Total moment = 0.000 μB/cell

***

Entry 3:
Below is a relaxed structure of Ti12Nb6Pb, with properties calculated at the GGA-PBE level.

```
19
Lattice="7.159 -0.326 -1.158 -1.308 7.046 -1.158 -0.284 -0.326 7.247" Properties=species:S:1:pos:R:3 pbc="T T T"
Nb 4.523 0.497 -0.115
Nb 5.134 5.897 0.426
Nb 1.044 5.897 5.045
Nb -0.130 4.548 -0.115
Nb 5.697 1.846 5.045
Nb 0.433 0.497 4.504
Ti 5.649 4.125 2.930
Ti 3.308 6.163 2.930
Ti 4.684 3.197 0.319
Ti 0.883 3.197 4.611
Ti 2.259 0.231 2.000
Ti 0.622 5.079 2.465
Ti 4.945 1.315 2.465
Ti -0.082 2.269 2.000
Ti 1.976 2.269 -0.323
Ti 3.045 1.315 4.611
Ti 2.522 5.079 0.319
Ti 3.592 4.125 5.253
Pb 0.000 0.000 0.000
```

Properties
Final energy = -155.4 eV per cell
N(E_F) = 23.89 states/eV/f.u.
Formation energy from the elements = 3.45 eV per formula unit
Total moment = 0.008 μB/cell

***

Entry 4:
Below is a relaxed structure of BaMnPS2, with properties calculated at the GGA-PBE level.

```
5
Lattice="-4.115 -3.748 1.575 -0.947 -1.297 -5.557 4.011 -4.272 0.314" Properties=species:S:1:pos:R:3 pbc="T T T"
P 2.005 -2.136 0.157
S -2.057 -1.874 0.788
S -0.473 -0.648 -2.779
Ba 0.000 0.000 0.000
Mn -0.525 -4.658 -1.834
```

Properties
Final energy = -19.5 eV per cell
N(E_F) = 6.60 states/eV/f.u.
Total moment = 7.791 μB/cell
Energy relative to the lowest polymorph listed for this composition = 1.803 eV per atom

***

Entry 5:
Below is a relaxed structure of Na2YErS4, with properties calculated at the GGA-PBE level.

```
8
Lattice="-2.833 2.587 1.016 -1.929 -4.132 5.141 4.932 4.467 2.379" Properties=species:S:1:pos:R:3 pbc="T T T"
Na 1.050 3.527 1.697
Na 1.501 0.167 3.760
S -0.319 -2.064 4.366
S -0.767 1.310 2.276
S 3.322 2.399 3.154
S 0.937 1.611 6.260
Y -2.381 -0.773 3.079
Er 0.000 0.000 0.000
```

Properties
Final energy = -45.0 eV per cell
N(E_F) = 0.00 states/eV/f.u.
Total moment = 0.000 μB/cell

***

Entry 6:
Below is a relaxed structure of Zr2AlCu5, with properties calculated at the GGA-PBE level.

```
16
Lattice="-3.119 2.617 0.432 -1.846 -2.776 3.492 6.402 6.249 8.353" Properties=species:S:1:pos:R:3 pbc="T T T"
Cu 4.713 4.354 7.646
Cu 0.000 0.000 0.000
Cu 2.278 1.736 5.922
Cu 0.770 3.341 4.716
Cu 0.667 2.749 7.562
Cu 3.961 6.452 8.910
Cu 1.525 1.249 3.445
Cu 3.031 2.224 8.400
Cu -2.524 -0.362 3.367
Cu -0.157 -0.881 4.199
Zr 2.408 4.444 9.856
Zr -0.769 1.355 5.634
Zr 2.206 4.735 6.643
Zr -0.971 1.646 2.421
Al -0.923 -1.388 1.746
Al 3.201 3.125 4.177
```

Properties
Final energy = -85.9 eV per cell
N(E_F) = 4.57 states/eV/f.u.
Formation energy from the elements = -1.65 eV per formula unit
Total moment = 0.000 μB/cell
Energy relative to the lowest polymorph listed for this composition = 0.000 eV per atom

***

Copy entry 5 word for word.
Below is a relaxed structure of Na2YErS4, with properties calculated at the GGA-PBE level.

```
8
Lattice="-2.833 2.587 1.016 -1.929 -4.132 5.141 4.932 4.467 2.379" Properties=species:S:1:pos:R:3 pbc="T T T"
Na 1.050 3.527 1.697
Na 1.501 0.167 3.760
S -0.319 -2.064 4.366
S -0.767 1.310 2.276
S 3.322 2.399 3.154
S 0.937 1.611 6.260
Y -2.381 -0.773 3.079
Er 0.000 0.000 0.000
```

Properties
Final energy = -45.0 eV per cell
N(E_F) = 0.00 states/eV/f.u.
Total moment = 0.000 μB/cell